Entry 1:
# PmSmAgBi | the Alexandria database | PBE-GGA | relaxed
data_PmSmAgBi
_space_group_name_H-M_alt 'P 1'
_space_group_IT_number 1
_space_group_name_Hall 'P 1'
_cell_length_a 5.4040
_cell_length_b 5.4040
_cell_length_c 5.4040
_cell_angle_alpha 60.00
_cell_angle_beta 60.00
_cell_angle_gamma 60.00
loop_
_atom_site_label
_atom_site_fract_x
_atom_site_fract_y
_atom_site_fract_z
Sm1 0.2500 0.2500 0.2500
Ag1 0.5000 0.5000 0.5000
Bi1 0.0000 0.0000 0.0000
Pm1 0.7500 0.7500 0.7500
# ρ = 9.11 Mg/m³
# DFT total energy = -18.12 eV for the cell shown
# Fermi-level density of states = 3.8 states/eV/cell

***

Entry 2:
# RbMgOs2 | the Alexandria database | PBE-GGA | relaxed
data_RbMgOs2
_space_group_name_H-M_alt 'P 1'
_space_group_IT_number 1
_space_group_name_Hall 'P 1'
_cell_length_a 4.7130
_cell_length_b 4.7130
_cell_length_c 10.2788
_cell_angle_alpha 76.75
_cell_angle_beta 76.75
_cell_angle_gamma 90.00
loop_
_atom_site_label
_atom_site_fract_x
_atom_site_fract_y
_atom_site_fract_z
Os1 0.8750 0.5731 0.7500
Rb1 0.0000 0.0000 0.0000
Os2 0.4269 0.6250 0.2500
Os3 0.3231 0.1250 0.2500
Os4 0.3750 0.6769 0.7500
Rb2 0.7500 0.2500 0.5000
Mg1 0.2500 0.7500 0.5000
Mg2 0.5000 0.5000 0.0000
# ρ = 7.54 Mg/m³
# DFT total energy = -39.33 eV for the cell shown
# Fermi-level density of states = 7.9 states/eV/cell

***

Entry 3:
# TmMgHgPt | the Alexandria database | PBE-GGA | relaxed
data_TmMgHgPt
_space_group_name_H-M_alt 'P 1'
_space_group_IT_number 1
_space_group_name_Hall 'P 1'
_cell_length_a 4.8663
_cell_length_b 4.8663
_cell_length_c 4.8663
_cell_angle_alpha 60.00
_cell_angle_beta 60.00
_cell_angle_gamma 60.00
loop_
_atom_site_label
_atom_site_fract_x
_atom_site_fract_y
_atom_site_fract_z
Mg1 0.7500 0.7500 0.7500
Hg1 0.0000 0.0000 0.0000
Tm1 0.2500 0.2500 0.2500
Pt1 0.5000 0.5000 0.5000
# ρ = 12.00 Mg/m³
# DFT total energy = -15.27 eV for the cell shown
# Fermi-level density of states = 3.8 states/eV/cell

***

Entry 4:
# SiHg | the Alexandria database | PBE-GGA | relaxed
data_SiHg
_space_group_name_H-M_alt 'P 1'
_space_group_IT_number 1
_space_group_name_Hall 'P 1'
_cell_length_a 5.1958
_cell_length_b 5.1958
_cell_length_c 7.7303
_cell_angle_alpha 90.00
_cell_angle_beta 90.00
_cell_angle_gamma 120.00
loop_
_atom_site_label
_atom_site_fract_x
_atom_site_fract_y
_atom_site_fract_z
Hg1 0.0000 0.0000 0.7500
Si1 0.3333 0.6667 0.0968
Si2 0.6667 0.3333 0.9032
Hg2 0.6667 0.3333 0.2500
Si3 0.3333 0.6667 0.4032
Hg3 0.3333 0.6667 0.7500
Hg4 0.0000 0.0000 0.2500
Si4 0.6667 0.3333 0.5968
# ρ = 8.40 Mg/m³
# formation energy (no corrections) = 65.66 kJ/mol of atoms
# DFT total energy = -17.46 eV for the cell shown
# Fermi-level density of states = 4.5 states/eV/cell
# polymorph energy (0 for the lowest one) = 0.535 eV/atom

***

Entry 5:
# ReAg2Ru | the Alexandria database | PBE-GGA | relaxed
data_ReAg2Ru
_space_group_name_H-M_alt 'P 1'
_space_group_IT_number 1
_space_group_name_Hall 'P 1'
_cell_length_a 5.2643
_cell_length_b 5.2643
_cell_length_c 5.2643
_cell_angle_alpha 138.36
_cell_angle_beta 138.36
_cell_angle_gamma 60.35
loop_
_atom_site_label
_atom_site_fract_x
_atom_site_fract_y
_atom_site_fract_z
Re1 0.2500 0.7500 0.5000
Ru1 0.7500 0.2500 0.5000
Ag1 0.0000 0.0000 0.0000
Ag2 0.5000 0.5000 0.0000
# ρ = 13.11 Mg/m³
# DFT total energy = -24.45 eV for the cell shown
# Fermi-level density of states = 4.8 states/eV/cell
# polymorph energy (0 for the lowest one) = 0.495 eV/atom

***

Entry 6:
# BiSbAu | the Alexandria database | PBE-GGA | relaxed
data_BiSbAu
_space_group_name_H-M_alt 'P 1'
_space_group_IT_number 1
_space_group_name_Hall 'P 1'
_cell_length_a 3.1348
_cell_length_b 5.4886
_cell_length_c 5.4886
_cell_angle_alpha 120.00
_cell_angle_beta 90.00
_cell_angle_gamma 90.00
loop_
_atom_site_label
_atom_site_fract_x
_atom_site_fract_y
_atom_site_fract_z
Au1 0.3324 0.6667 0.3333
Sb1 0.3252 0.3333 0.6667
Bi1 0.3424 0.0000 0.0000
# ρ = 10.71 Mg/m³
# formation energy (no corrections) = 11.77 kJ/mol of atoms
# DFT total energy = -10.91 eV for the cell shown
# Fermi-level density of states = 1.4 states/eV/cell
# polymorph energy (0 for the lowest one) = 0.167 eV/atom